This record from the Alexandria database describes an optimized crystal structure of HgMo2I. The functional is PBE.

The space group is I-42d (No. 122) and the conventional cell measures 4.2803, 4.2803 and 19.6627 Å, with angles of 90.00, 90.00 and 90.00 degrees. The asymmetric unit holds Hg at (0.0000, 0.0000, 0.0000), Mo at (0.1739, 0.2500, 0.6250) and I at (0.0000, 0.0000, 0.5000).

The formation energy (no corrections) is 1172 meV/atom. The value obtained for the final energy is -4.707 eV/atom.